Density functional theory data (PBE) for an optimized crystal structure of ScNi3.

abc: 2.7777 2.7777 8.0289
angles: 90.00 90.00 120.00
Positions (direct):
Sc  0.0000  0.0000  0.0000
Ni  0.0000  0.0000  0.5000
Ni  0.6667  0.3333  0.2642
Ni  0.6667  0.3333  0.7358

Computed properties:
D(E_F): 6.87 states/eV/cell
magnetic moment: 0.18 μB per atom
E_tot: -5.76 eV per atom